An optimized crystal structure of ThTc2B, computed with PBE.

abc: 4.0183 4.0183 5.8365
angles: 69.87 69.87 60.00
With the nearest neighbours (Å) after each atom.
Sites, in units of the cell vectors:
B (0.0000, 0.0000, 0.0000)  6 Tc 2.36
Tc (0.3075, 0.3075, 0.0776)  3 B 2.36, 3 Tc 2.46
Tc (0.6925, 0.6925, 0.9224)  3 B 2.36, 3 Tc 2.46
Th (0.5000, 0.5000, 0.5000)  8 Tc 3.09-3.24

Properties
Symmetry   R-3m, No. 166
Calculated formation energy   0.0644 eV/atom
Uncorrected energy   -0.635 Ry/atom
Density   9.7 Mg/m³